Pu2SiRh: relaxed, GGA-PBE.

The structure in CIF format:
```
data_Pu2SiRh
_cell_length_a 4.4459
_cell_length_b 4.4459
_cell_length_c 13.8275
_cell_angle_alpha 90.00
_cell_angle_beta 90.00
_cell_angle_gamma 120.00
_space_group_name_H-M_alt 'R 3 m'
_space_group_IT_number 160
_space_group_name_Hall 'R 3 -2"'
loop_
_atom_site_label
_atom_site_type_symbol
_atom_site_fract_x
_atom_site_fract_y
_atom_site_fract_z
Pu1 Pu 0.0000 0.0000 0.0000
Pu2 Pu 0.0000 0.0000 0.2267
Si1 Si 0.0000 0.0000 0.4521
Rh1 Rh 0.0000 0.0000 0.7703
```

Computed properties:
Volume (Å³ per atom): 19.7
Spin magnetization (μB per atom): 2.67


TbSm3Se6: relaxed, GGA-PBE.

The structure in CIF format:
```
data_TbSm3Se6
_cell_length_a 12.1837
_cell_length_b 12.1837
_cell_length_c 14.5095
_cell_angle_alpha 90.00
_cell_angle_beta 90.00
_cell_angle_gamma 120.00
_space_group_name_H-M_alt 'R -3'
_space_group_IT_number 148
_space_group_name_Hall '-R 3'
loop_
_atom_site_label
_atom_site_type_symbol
_atom_site_fract_x
_atom_site_fract_y
_atom_site_fract_z
Tb1 Tb 0.0000 0.0000 0.0000
Tb2 Tb 0.0000 0.0000 0.5000
Sm1 Sm 0.0520 0.2715 0.2017
Se1 Se 0.0197 0.2108 0.3975
Se2 Se 0.0325 0.1941 0.8767
```

Computed properties:
Volume (Å³ per atom): 31.1
Spin magnetization (μB per atom): 0.00


no.,uncorrected formation energy (kcal/mol of atoms)
1,-10.845
2,-42.859